Record 1
A plane-wave DFT calculation with GGA-PBE was carried out for a geometry-optimized Ca2In3Cu structure.

a = 6.0938 Å, b = 6.0938 Å, c = 7.5582 Å
α = 127.44°, β = 127.44°, γ = 46.35°
Atoms (fractional coordinates):
1 Ca 0.0000 0.0000 0.0000
2 Ca 0.0904 0.0904 0.5843
3 In 0.3658 0.3658 0.1667
4 In 0.4103 0.4103 0.6256
5 In 0.7107 0.7107 0.3880
6 Cu 0.7204 0.7204 0.0215

## Properties
Symmetry: No. 8
Energy above the most stable polymorph in this dataset: 0.0000 eV per atom
ρ: 5.3 g cm⁻³
Fermi-level density of states: 2.6 states/eV/cell
Final energy: -3.08 eV per atom

---

Record 2
A plane-wave DFT calculation with GGA-PBE was carried out for a geometry-optimized La2Tb3Tm3 structure.

a = 10.6631 Å, b = 10.6631 Å, c = 10.6631 Å
α = 152.41°, β = 152.37°, γ = 39.45°
Atoms (fractional coordinates):
1 La 0.2505 0.2505 0.0000
2 La 0.7495 0.7495 0.0000
3 Tb 0.0000 0.0000 0.0000
4 Tb 0.3787 0.8787 0.5000
5 Tb 0.6213 0.1213 0.5000
6 Tm 0.1213 0.6213 0.5000
7 Tm 0.5000 0.5000 0.0000
8 Tm 0.8787 0.3787 0.5000

## Properties
Symmetry: No. 71
Energy above the most stable polymorph in this dataset: 0.0000 eV per atom
ρ: 8.1 g cm⁻³
Fermi-level density of states: 12.7 states/eV/cell
Final energy: -4.61 eV per atom

---

Record 3
A plane-wave DFT calculation with GGA-PBE was carried out for a geometry-optimized P2Ru2SeN structure.

a = 3.9952 Å, b = 5.0724 Å, c = 5.2003 Å
α = 105.68°, β = 101.29°, γ = 102.59°
Atoms (fractional coordinates):
1 P 0.0000 0.0000 0.0000
2 P 0.1109 0.2522 0.6958
3 Ru 0.3463 0.7453 0.7557
4 Ru 0.6044 0.0428 0.2922
5 Se 0.6975 0.5738 0.4118
6 N 0.3843 0.0570 0.5995

## Properties
Symmetry: No. 1
Energy above the most stable polymorph in this dataset: 0.2195 eV per atom
ρ: 6.2 g cm⁻³
Uncorrected formation energy: -2 meV per atom
Fermi-level density of states: 3.4 states/eV/cell
Final energy: -6.87 eV per atom

---

Record 4
A plane-wave DFT calculation with GGA-PBE was carried out for a geometry-optimized Tb2DyEr4 structure.

a = 5.9794 Å, b = 6.5446 Å, c = 11.4857 Å
α = 90.00°, β = 104.55°, γ = 90.00°
Atoms (fractional coordinates):
1 Tb 0.0996 0.2500 0.4925
2 Tb 0.3419 0.7500 0.0541
3 Tb 0.6581 0.2500 0.9459
4 Tb 0.9004 0.7500 0.5075
5 Dy 0.4727 0.7500 0.6399
6 Dy 0.5273 0.2500 0.3601
7 Er 0.1559 0.0053 0.7898
8 Er 0.1559 0.4947 0.7898
9 Er 0.2209 0.2500 0.0763
10 Er 0.3528 0.7500 0.3386
11 Er 0.6472 0.2500 0.6614
12 Er 0.7791 0.7500 0.9237
13 Er 0.8441 0.5053 0.2102
14 Er 0.8441 0.9947 0.2102

## Properties
Symmetry: No. 11
Energy above the most stable polymorph in this dataset: 0.1348 eV per atom
ρ: 8.8 g cm⁻³
Fermi-level density of states: 23.9 states/eV/cell
Final energy: -4.45 eV per atom

---

Record 5
A plane-wave DFT calculation with GGA-PBE was carried out for a geometry-optimized CsPuPa2O8 structure.

a = 5.3975 Å, b = 5.4078 Å, c = 7.3080 Å
α = 89.21°, β = 88.57°, γ = 86.72°
Atoms (fractional coordinates):
1 Cs 0.0000 0.0000 0.0000
2 Pu 0.0000 0.0000 0.5000
3 Pa 0.4925 0.4976 0.2545
4 Pa 0.5075 0.5024 0.7455
5 O 0.2015 0.8046 0.6811
6 O 0.2372 0.8020 0.3011
7 O 0.3130 0.3275 0.4910
8 O 0.3256 0.3719 0.9803
9 O 0.6744 0.6281 0.0197
10 O 0.6870 0.6725 0.5090
11 O 0.7628 0.1980 0.6989
12 O 0.7985 0.1954 0.3189

## Properties
Symmetry: No. 2
ρ: 7.5 g cm⁻³
Uncorrected formation energy: -2938 meV per atom
Fermi-level density of states: 6.0 states/eV/cell
Final energy: -9.09 eV per atom

---

Record 6
A plane-wave DFT calculation with GGA-PBE was carried out for a geometry-optimized AcDy4ErS8 structure.

a = 8.1472 Å, b = 8.1472 Å, c = 8.1472 Å
α = 60.11°, β = 60.11°, γ = 60.11°
Atoms (fractional coordinates):
1 Ac 0.0000 0.0000 0.0000
2 Dy 0.1315 0.6226 0.6226
3 Dy 0.2495 0.2495 0.2495
4 Dy 0.6226 0.1315 0.6226
5 Dy 0.6226 0.6226 0.1315
6 Er 0.6230 0.6230 0.6230
7 S 0.3809 0.3809 0.3809
8 S 0.3833 0.3833 0.8546
9 S 0.3833 0.8546 0.3833
10 S 0.4214 0.8583 0.8583
11 S 0.8546 0.3833 0.3833
12 S 0.8583 0.4214 0.8583
13 S 0.8583 0.8583 0.4214
14 S 0.8596 0.8596 0.8596

## Properties
Symmetry: No. 160
ρ: 5.6 g cm⁻³
Uncorrected formation energy: -1926 meV per atom
Fermi-level density of states: 8.8 states/eV/cell
Final energy: -6.22 eV per atom